The following is a DFT calculation (GGA-PBE) of a geometry-optimized PrNdNiGe structure.

ΔH_f (0 K) (meV per atom): -422.1
Raw total energy (eV per atom): -5.409

Cell and atoms, written as CIF:
```
data_PrNdNiGe
_chemical_formula_sum 'Pr4 Nd4 Ni4 Ge4'
_cell_length_a 7.2507
_cell_length_b 7.2507
_cell_length_c 7.2507
_cell_angle_alpha 90.00
_cell_angle_beta 90.00
_cell_angle_gamma 90.00
_symmetry_space_group_name_H-M 'F -4 3 m'
_symmetry_Int_Tables_number 216
_symmetry_space_group_name_Hall 'F -4 2 3'
loop_
_atom_site_label
_atom_site_type_symbol
_atom_site_fract_x
_atom_site_fract_y
_atom_site_fract_z
Pr1 Pr 0.0000 0.0000 0.0000
Nd1 Nd 0.0000 0.0000 0.5000
Ni1 Ni 0.2500 0.2500 0.2500
Ge1 Ge 0.2500 0.2500 0.7500
```